# Zr2CdCl (GGA-PBE, optimized geometry)
data_Zr2CdCl
_chemical_formula_sum 'Zr2 Cd1 Cl1'
_cell_length_a 3.207
_cell_length_b 5.544
_cell_length_c 5.032
_cell_angle_alpha 90.00
_cell_angle_beta 90.00
_cell_angle_gamma 90.00
_space_group_name_H-M_alt 'P 1'
_space_group_IT_number 1
loop_
_space_group_symop_operation_xyz
'x,y,z'
loop_
_atom_site_label
_atom_site_type_symbol
_atom_site_fract_x
_atom_site_fract_y
_atom_site_fract_z
Cd1 Cd 0.500 0.000 0.500
Cl1 Cl 0.000 0.500 0.500
Zr1 Zr 0.000 0.000 0.000
Zr2 Zr 0.500 0.500 0.000
# Energy relative to the elements, uncorrected (eV/atom): -0.069
# ΔE to the lowest computed polymorph (eV per formula unit): 1.798
# SG: Pmmm (47)
# Total moment (μB/f.u.): 0.00